VASP calculation (GGA+U) on a relaxed AlMoIrO6 crystal.

a b c (Å): 5.0028 5.0028 8.8318
angles (deg): 90.00 90.00 120.00
Last column: magnetic moment on the atom in μB.
Element x y z (fractional)
O (0.3335, 0.3464, 0.3669)  -0.15
O (0.3464, 0.0129, 0.6331)  -0.15
O (0.0129, 0.6665, 0.3669)  -0.15
O (0.3464, 0.3335, 0.8669)  -0.15
O (0.6665, 0.6536, 0.6331)  -0.15
O (0.3335, 0.9871, 0.1331)  -0.15
O (0.6665, 0.0129, 0.8669)  -0.15
O (0.9871, 0.6536, 0.8669)  -0.15
O (0.9871, 0.3335, 0.6331)  -0.15
O (0.0129, 0.3464, 0.1331)  -0.15
Al (0.3333, 0.6667, 0.2500)  0.00
Ir (0.3333, 0.6667, 0.7500)  -0.87
O (0.6536, 0.9871, 0.3669)  -0.15
Mo (0.0000, 0.0000, 0.0000)  1.82
Mo (0.0000, 0.0000, 0.5000)  1.82
O (0.6536, 0.6665, 0.1331)  -0.15
Al (0.6667, 0.3333, 0.7500)  0.00
Ir (0.6667, 0.3333, 0.2500)  -0.87

Summary:
volume	95.7	Å³/f.u.
electronic total energy	-128.615	eV/cell